# 1
Computed, not measured: an optimized crystal structure of Pr5NdDyY2 at the GGA-PBE level of DFT.

Computed properties:
Its calculated formation energy is 0.30 eV per atom. For the density of states at the Fermi level, the calculation gives 56.89 states/eV/cell. As for the calculated density: 6125 kg/m3.

Cell lengths 9.5270, 9.5270, 14.2066 Å; angles 90.00, 90.00, 90.00 degrees
With the nearest neighbours (Å) after each atom.
Space group I4/mcm (No. 140)
One atom of each set of equivalent atoms:
Pr 0.0000 0.0000 0.0000  2 Nd 3.55, 4 Y 3.87, 8 Pr 3.92
Pr 0.2023 0.2977 0.1333  1 Y 3.18, 1 Dy 3.19, 1 Pr 3.56
Nd 0.0000 0.0000 0.2500  10 Pr 3.55-3.81
Dy 0.0000 0.5000 0.2500  4 Pr 3.19
Y 0.1083 0.3917 0.5000  1 Y 2.92, 2 Pr 3.18

# 2
Computed, not measured: an optimized crystal structure of ZrUNi4 at the GGA-PBE level of DFT.

Computed properties:
Its calculated formation energy is -0.27 eV per atom. For the density of states at the Fermi level, the calculation gives 31.49 states/eV/cell. As for the calculated density: 10804 kg/m3.

Cell lengths 7.0256, 7.0256, 7.0256 Å; angles 90.00, 90.00, 90.00 degrees
With the nearest neighbours (Å) after each atom.
Space group F-43m (No. 216)
One atom of each set of equivalent atoms:
Zr 0.0000 0.0000 0.0000  12 Ni 2.91, 4 U 3.04
U 0.2500 0.2500 0.2500  12 Ni 2.91, 4 Zr 3.04
Ni 0.1252 0.1252 0.6252  6 Ni 2.48-2.49

# 3
Computed, not measured: an optimized crystal structure of Ca2ScZnH at the GGA-PBE level of DFT.

Computed properties:
As for the uncorrected energy: -3.08 eV/atom. For the density of states at the Fermi level, the calculation gives 5.04 states/eV/cell. As for the calculated density: 2913 kg/m3.

Cell lengths 5.0716, 5.0716, 4.2453 Å; angles 90.00, 90.00, 90.00 degrees
With the nearest neighbours (Å) after each atom.
Space group P4/mmm (No. 123)
One atom of each set of equivalent atoms:
Ca 0.0000 0.5000 0.0000  2 H 2.54
Sc 0.0000 0.0000 0.5000  2 H 2.12
Zn 0.5000 0.5000 0.5000  8 Ca 3.31, 4 Sc 3.59
H 0.0000 0.0000 0.0000  2 Sc 2.12

no.,size of the total moment (μB per formula unit)
1,0.000
2,2.847
3,0.508